## i
4
Lattice="-2.680 0.091 -2.171 0.429 -0.883 -3.308 -2.982 -10.113 0.514" Properties=species:S:1:pos:R:3 comment="TmPu2Ge (PBE, optimized geometry)" m_tot_mub_per_cell=11.9 pbc="T T T"
Pu -1.230 -2.382 -1.323
Pu -4.002 -8.523 -3.642
Ge 0.000 0.000 0.000
Tm -2.616 -5.452 -2.483

***

## ii
4
Lattice="-3.035 -1.547 3.586 1.564 -4.053 -0.424 3.072 0.874 2.976" Properties=species:S:1:pos:R:3 comment="TmPu2Ge (PBE, optimized geometry)" m_tot_mub_per_cell=11.9 pbc="T T T"
Tm 0.800 -2.363 3.069
Pu 1.536 0.437 1.488
Pu 0.782 -2.027 -0.212
Ge -1.517 -0.773 1.793

***

What should be chosen as the most stable of them? Choose ii.

***

## i
12
Lattice="4.926 0.000 0.000 2.463 7.528 0.000 2.463 0.000 7.528" Properties=species:S:1:pos:R:3 comment="PuUGe (PBE, optimized geometry)" m_tot_mub_per_cell=23.3 pbc="T T T"
Ge 2.463 1.732 1.732
Ge 7.389 5.797 5.797
Ge 4.926 1.732 5.797
Ge 4.926 5.797 1.732
U 4.926 4.659 4.659
U 2.463 4.659 2.869
U 4.926 2.869 2.869
U 2.463 2.869 4.659
Pu 4.926 2.371 0.000
Pu 2.463 5.157 0.000
Pu 2.463 0.000 5.157
Pu 4.926 0.000 2.371

***

## ii
3
Lattice="-3.793 -0.572 0.326 0.496 -1.229 3.615 1.160 4.966 -0.521" Properties=species:S:1:pos:R:3 comment="PuUGe (PBE, optimized geometry)" m_tot_mub_per_cell=6.6 pbc="T T T"
Pu -2.072 2.623 3.226
Ge -0.276 2.302 0.820
U -1.779 0.187 2.358

***

What should be chosen as the most stable of them? Choose ii.

***

## i
6
Lattice="3.859 -0.001 1.476 0.002 6.077 0.001 0.110 -0.001 5.497" Properties=species:S:1:pos:R:3 comment="PuUGe (PBE, optimized geometry)" m_tot_mub_per_cell=10.0 pbc="T T T"
Pu 1.263 4.200 2.384
Pu 2.539 1.161 4.829
Ge 2.461 4.215 5.033
Ge 1.341 1.177 2.180
U 0.189 2.294 5.191
U 3.614 5.332 2.022

***

## ii
6
Lattice="4.633 0.000 0.000 2.317 5.077 -1.072 2.317 -0.757 5.133" Properties=species:S:1:pos:R:3 comment="PuUGe (PBE, optimized geometry)" m_tot_mub_per_cell=7.2 pbc="T T T"
Ge 6.950 3.235 3.041
Ge 2.317 1.085 1.020
U 2.317 4.056 0.014
U 2.317 0.264 4.047
Pu 4.633 3.207 0.916
Pu 4.633 1.113 3.145

***

## iii
3
Lattice="3.139 0.000 0.000 0.000 4.703 0.000 0.000 -2.351 4.073" Properties=species:S:1:pos:R:3 comment="PuUGe (PBE, optimized geometry)" m_tot_mub_per_cell=5.6 pbc="T T T"
Ge 1.136 0.000 2.715
U 2.945 0.000 0.000
Pu 2.197 2.351 1.358

***

What should be chosen as the most stable of them? Choose i.

***

## i
4
Lattice="-0.144 2.424 1.408 -3.787 -0.372 0.263 2.835 -5.549 4.757" Properties=species:S:1:pos:R:3 comment="PuVGe2 (PBE, optimized geometry)" m_tot_mub_per_cell=5.8 pbc="T T T"
Ge 1.751 -4.998 4.646
Ge -0.665 -1.261 3.369
V -0.334 -3.474 4.488
Pu -2.832 0.675 2.580

***

## ii
4
Lattice="-1.993 0.485 2.642 -0.336 -3.309 0.354 5.108 -0.105 3.873" Properties=species:S:1:pos:R:3 comment="PuVGe2 (PBE, optimized geometry)" m_tot_mub_per_cell=5.1 pbc="T T T"
Pu 1.390 -1.465 3.434
Ge 4.090 -0.084 3.101
Ge 1.018 -0.021 0.772
V -1.165 -1.412 1.498

***

What should be chosen as the most stable of them? Choose ii.